Entry 1:
{
  "formula": "Mg2ZnFe",
  "functional": "PBE-GGA",
  "state": "optimized geometry",
  "density_g_cm3": 3.9,
  "e_form_mev_per_atom": 456,
  "vol_a3_per_atom": 17.9,
  "total_magnetization_mub_per_fu": 2.195,
  "crystal_system": "tetragonal",
  "lattice_angstrom": [[-0.745, -1.493, 7.071], [-6.425, -3.116, -1.335], [-2.351, -4.689, 2.495]],
  "species": ["Fe", "Fe", "Mg", "Mg", "Mg", "Mg", "Zn", "Zn"],
  "frac_coords": [[0.250, 0.750, 0.500], [0.500, 0.500, 0.000], [0.624, 0.125, 0.250], [0.375, 0.376, 0.750], [0.875, 0.874, 0.750], [0.126, 0.625, 0.250], [0.750, 0.250, 0.500], [0.000, 0.000, 0.000]]
}

Entry 2:
{
  "formula": "Mg2ZnFe",
  "functional": "PBE-GGA",
  "state": "optimized geometry",
  "density_g_cm3": 4.2,
  "e_form_mev_per_atom": 203,
  "vol_a3_per_atom": 16.9,
  "total_magnetization_mub_per_fu": 2.343,
  "crystal_system": "trigonal",
  "lattice_angstrom": [[-3.226, 7.678, 4.422], [-4.742, 5.666, 5.859], [-2.043, 6.319, 6.694]],
  "species": ["Mg", "Mg", "Zn", "Fe"],
  "frac_coords": [[0.495, 0.495, 0.495], [0.005, 0.005, 0.005], [0.250, 0.250, 0.250], [0.750, 0.750, 0.750]]
}

Entry 3:
{
  "formula": "MgZn2Fe",
  "functional": "PBE-GGA",
  "state": "optimized geometry",
  "density_g_cm3": 5.7,
  "e_form_mev_per_atom": 125,
  "vol_a3_per_atom": 15.4,
  "total_magnetization_mub_per_fu": 2.385,
  "crystal_system": "trigonal",
  "lattice_angstrom": [[9.109, 0.004, 0.002], [8.674, 2.783, 0.002], [8.674, 1.359, 2.429]],
  "species": ["Mg", "Zn", "Zn", "Fe"],
  "frac_coords": [[0.750, 0.750, 0.750], [0.992, 0.992, 0.992], [0.508, 0.508, 0.508], [0.250, 0.250, 0.250]]
}

Entry 4:
{
  "formula": "MgZnFe2",
  "functional": "PBE-GGA",
  "state": "optimized geometry",
  "density_g_cm3": 6.1,
  "e_form_mev_per_atom": 117,
  "vol_a3_per_atom": 13.8,
  "total_magnetization_mub_per_fu": 4.368,
  "crystal_system": "monoclinic",
  "lattice_angstrom": [[4.032, 0.000, 0.000], [0.000, 2.647, 0.057], [0.000, 1.227, 5.197]],
  "species": ["Fe", "Fe", "Mg", "Zn"],
  "frac_coords": [[0.000, 0.050, 0.011], [0.500, 0.196, 0.228], [0.000, 0.486, 0.487], [0.500, 0.768, 0.774]]
}